[1]
Entry from Alexandria via LeMat-Bulk: a geometry-optimized BeHgPt4 structure (PBE).

Values from the calculation:
Its energy of formation is 0.2753 eV per atom. Its space group is No. 216.

a = 5.2938 Å, b = 5.2938 Å, c = 5.2938 Å
α = 60.00°, β = 60.00°, γ = 60.00°
Closest atoms and distances in Å follow each position.
Element x y z (fractional)
Pt: 0.3752 0.3752 0.8743  6 Pt 2.64-2.65
Pt: 0.3752 0.8743 0.3752  6 Pt 2.64-2.65
Pt: 0.3752 0.3752 0.3752  6 Pt 2.64-2.65
Pt: 0.8743 0.3752 0.3752  6 Pt 2.64-2.65
Hg: 0.0000 0.0000 0.0000  12 Pt 3.10, 4 Be 3.24
Be: 0.7500 0.7500 0.7500  12 Pt 3.10, 4 Hg 3.24



[2]
Entry from Alexandria via LeMat-Bulk: a geometry-optimized BaZn2In2 structure (PBE).

Values from the calculation:
Its energy of formation is -0.0348 eV per atom. Its space group is No. 127.

a = 8.8322 Å, b = 8.8322 Å, c = 3.3124 Å
α = 90.00°, β = 90.00°, γ = 90.00°
Closest atoms and distances in Å follow each position.
Element x y z (fractional)
Ba: 0.5000 0.5000 0.0000  2 Ba 3.31, 4 In 3.47, 8 Zn 3.70
Ba: 0.0000 0.0000 0.0000  2 Ba 3.31, 4 In 3.47, 8 Zn 3.70
Zn: 0.1619 0.6619 0.5000  6 In 3.07-3.10, 2 Zn 3.31
Zn: 0.3381 0.1619 0.5000  6 In 3.07-3.10, 2 Zn 3.31
Zn: 0.6619 0.8381 0.5000  6 In 3.07-3.10, 2 Zn 3.31
Zn: 0.8381 0.3381 0.5000  6 In 3.07-3.10, 2 Zn 3.31
In: 0.1288 0.3712 0.0000  6 Zn 3.07-3.10, 3 In 3.22-3.31
In: 0.8712 0.6288 0.0000  6 Zn 3.07-3.10, 3 In 3.22-3.31
In: 0.6288 0.1288 0.0000  6 Zn 3.07-3.10, 3 In 3.22-3.31
In: 0.3712 0.8712 0.0000  6 Zn 3.07-3.10, 3 In 3.22-3.31



[3]
Entry from Alexandria via LeMat-Bulk: a geometry-optimized LiPm8C4 structure (PBE).

Values from the calculation:
Its energy of formation is -0.0619 eV per atom. Its space group is No. 12.

a = 3.6869 Å, b = 9.4666 Å, c = 9.6038 Å
α = 85.52°, β = 78.93°, γ = 78.77°
Closest atoms and distances in Å follow each position.
Element x y z (fractional)
Li: 0.5160 0.0017 0.9664  2 Li 3.69, 8 Pm 3.71-3.72
Pm: 0.4721 0.3705 0.6853  3 C 2.56-2.68
Pm: 0.8197 0.3440 0.0167  3 C 2.53-2.54
Pm: 0.1744 0.0270 0.6242  3 C 2.52-2.54
Pm: 0.5593 0.6329 0.2486  3 C 2.56-2.68
Pm: 0.8571 0.9764 0.3094  3 C 2.52-2.54
Pm: 0.8688 0.6920 0.5704  3 C 2.57-2.67
Pm: 0.2117 0.6594 0.9172  3 C 2.53-2.54
Pm: 0.1626 0.3114 0.3635  3 C 2.57-2.67
C: 0.3609 0.8379 0.4403  6 Pm 2.52-2.68
C: 0.8408 0.5165 0.8020  6 Pm 2.53-2.67
C: 0.1906 0.4869 0.1319  6 Pm 2.53-2.67
C: 0.6705 0.1655 0.4935  6 Pm 2.52-2.68



[4]
Entry from Alexandria via LeMat-Bulk: a geometry-optimized TcIrSeN2 structure (PBE).

Values from the calculation:
The formation energy from raw total energies is 1.0734 eV/atom. Its space group is No. 123.

a = 3.7622 Å, b = 3.7622 Å, c = 5.5412 Å
α = 90.00°, β = 90.00°, γ = 90.00°
Closest atoms and distances in Å follow each position.
Element x y z (fractional)
Se: 0.0000 0.0000 0.5000  4 Ir 2.66, 2 Tc 2.77
N: 0.5000 0.0000 0.0000  2 Tc 1.88
N: 0.0000 0.5000 0.0000  2 Tc 1.88
Ir: 0.5000 0.5000 0.5000  4 Se 2.66
Tc: 0.0000 0.0000 0.0000  4 N 1.88



no.,total magnetization (μB/cell)
1,0.00
2,0.00
3,0.00
4,0.86